Record 1
The following is a DFT calculation (GGA-PBE) of ScBPt2I after structural relaxation.

Output
Its raw formation energy is 1.099 eV per atom. For the total energy, the calculation gives -4.229 eV per atom. Its space group is P4/mmm, No. 123. As for the spin magnetization: 0.00 μB per cell. The calculation puts the density of states at the Fermi level at 0.959 states/eV per atom.

Lattice parameters (Å, degrees): 4.9540 4.6379 4.9540 90.00 90.00 90.00
With the nearest neighbours (Å) after each atom.
Element x y z (fractional)
B  0.0000  0.5000  0.0000  2 Sc 2.32
Pt  0.0000  0.0000  0.5000  2 Sc 2.48
I  0.5000  0.5000  0.5000  8 Pt 3.39, 4 B 3.50
Sc  0.0000  0.0000  0.0000  2 B 2.32, 4 Pt 2.48
Pt  0.5000  0.0000  0.0000  2 Sc 2.48


Record 2
The following is a DFT calculation (GGA-PBE) of Pm6Y2HoMg after structural relaxation.

Output
For the formation energy, the calculation gives 1.18 eV per formula unit. For the total energy, the calculation gives -4.643 eV per atom. Its space group is C2/c, No. 15. As for the spin magnetization: 0.00 μB per cell. The calculation puts the density of states at the Fermi level at 1.435 states/eV per atom.

Lattice parameters (Å, degrees): 8.8800 9.2554 9.2554 119.71 90.98 90.98
With the nearest neighbours (Å) after each atom.
Element x y z (fractional)
Pm  0.4104  0.5386  0.2653  2 Mg 3.38-3.53, 4 Pm 3.38-3.54, 3 Y 3.40-3.70
Pm  0.6966  0.9570  0.5380  6 Pm 3.40-3.74, 1 Mg 3.41, 1 Y 3.42, 1 Ho 3.66
Y  0.4507  0.7773  0.6864  2 Mg 3.19-3.48, 1 Ho 3.37, 4 Pm 3.40-3.42
Pm  0.9104  0.2653  0.5386  2 Mg 3.38-3.53, 4 Pm 3.38-3.54, 3 Y 3.40-3.70
Y  0.9507  0.6864  0.7773  2 Mg 3.19-3.48, 1 Ho 3.37, 4 Pm 3.40-3.42
Pm  0.9475  0.8846  0.2024  2 Ho 3.37-3.59, 7 Pm 3.38-3.74, 1 Y 3.42
Y  0.5493  0.2227  0.3136  2 Mg 3.19-3.48, 1 Ho 3.37, 4 Pm 3.40-3.42
Pm  0.4475  0.2024  0.8846  2 Ho 3.37-3.59, 7 Pm 3.38-3.74, 1 Y 3.42
Y  0.0493  0.3136  0.2227  2 Mg 3.19-3.48, 1 Ho 3.37, 4 Pm 3.40-3.42
Pm  0.5896  0.4614  0.7347  2 Mg 3.38-3.53, 4 Pm 3.38-3.54, 3 Y 3.40-3.70
Pm  0.0896  0.7347  0.4614  2 Mg 3.38-3.53, 4 Pm 3.38-3.54, 3 Y 3.40-3.70
Pm  0.1966  0.5380  0.9570  6 Pm 3.40-3.74, 1 Mg 3.41, 1 Y 3.42, 1 Ho 3.66
Ho  0.7500  0.0354  0.9646  6 Pm 3.37-3.66, 4 Y 3.37-3.58
Pm  0.8034  0.4620  0.0430  6 Pm 3.40-3.74, 1 Mg 3.41, 1 Y 3.42, 1 Ho 3.66
Mg  0.2500  0.4438  0.5562  4 Y 3.19-3.48, 6 Pm 3.38-3.53
Mg  0.7500  0.5562  0.4438  4 Y 3.19-3.48, 6 Pm 3.38-3.53
Pm  0.5525  0.7976  0.1154  2 Ho 3.37-3.59, 7 Pm 3.38-3.74, 1 Y 3.42
Pm  0.3034  0.0430  0.4620  6 Pm 3.40-3.74, 1 Mg 3.41, 1 Y 3.42, 1 Ho 3.66
Pm  0.0525  0.1154  0.7976  2 Ho 3.37-3.59, 7 Pm 3.38-3.74, 1 Y 3.42
Ho  0.2500  0.9646  0.0354  6 Pm 3.37-3.66, 4 Y 3.37-3.58


What is the spin magnetization in the first record? 0.00 μB per cell